Below is crystalline ScRh3 at its relaxed geometry, with properties calculated at the PBE level. Values from VASP.

## Properties
E_form ... -51.48 kJ per mole of atoms

```
&SYSTEM
  ibrav = 0, nat = 4, ntyp = 2
/
ATOMIC_SPECIES
Sc 44.96 Sc.upf
Rh 102.91 Rh.upf
ATOMIC_POSITIONS crystal
Sc 0.250 0.750 0.500
Rh 0.750 0.250 0.500
Rh 0.500 0.500 0.000
Rh 0.000 0.000 0.000
CELL_PARAMETERS angstrom
4.807 0.003 0.000
1.543 4.552 0.000
-3.175 -2.278 2.799
```



Below is crystalline La2ZrSn at its relaxed geometry, with properties calculated at the PBE level. Values from VASP.

## Properties
E_form ... 5.38 kJ per mole of atoms

```
&SYSTEM
  ibrav = 0, nat = 8, ntyp = 3
/
ATOMIC_SPECIES
La 138.91 La.upf
Sn 118.71 Sn.upf
Zr 91.22 Zr.upf
ATOMIC_POSITIONS crystal
La 0.375 0.369 0.750
Sn 0.000 0.000 0.000
Zr 0.500 0.500 0.000
La 0.875 0.881 0.750
La 0.119 0.625 0.250
Sn 0.750 0.250 0.500
La 0.631 0.125 0.250
Zr 0.250 0.750 0.500
CELL_PARAMETERS angstrom
8.848 0.000 0.000
0.000 8.848 0.000
4.424 4.424 3.098
```



Below is crystalline ReOsRh at its relaxed geometry, with properties calculated at the PBE level. Values from VASP.

## Properties
Offset from the most stable computed form ... 1.1 kJ per mole of atoms
E_form ... 0.09 kJ per mole of atoms

```
&SYSTEM
  ibrav = 0, nat = 6, ntyp = 3
/
ATOMIC_SPECIES
Rh 102.91 Rh.upf
Re 186.21 Re.upf
Os 190.23 Os.upf
ATOMIC_POSITIONS crystal
Rh 0.419 0.250 0.838
Re 0.910 0.750 0.820
Rh 0.581 0.750 0.162
Os 0.747 0.250 0.495
Os 0.253 0.750 0.505
Re 0.090 0.250 0.180
CELL_PARAMETERS angstrom
3.839 0.000 -0.715
0.000 3.905 0.000
-0.875 0.000 5.963
```



Below is crystalline NaPm2Y at its relaxed geometry, with properties calculated at the PBE level. Values from VASP.

## Properties
Offset from the most stable computed form ... 0.0 kJ per mole of atoms
E_form ... 10.31 kJ per mole of atoms

```
&SYSTEM
  ibrav = 0, nat = 4, ntyp = 3
/
ATOMIC_SPECIES
Na 22.99 Na.upf
Pm 145.00 Pm.upf
Y 88.91 Y.upf
ATOMIC_POSITIONS crystal
Na 0.500 0.500 0.500
Pm 0.000 0.000 0.234
Pm 0.000 0.000 0.766
Y 0.500 0.500 0.000
CELL_PARAMETERS angstrom
-2.151 -2.678 0.846
0.068 -1.115 -3.357
8.705 -6.277 2.261
```



Below is crystalline BaDyTlBr6 at its relaxed geometry, with properties calculated at the PBE level. Values from VASP.

## Properties
Formation energy without anion corrections ... -1525 kJ/mol of formula units

```
&SYSTEM
  ibrav = 0, nat = 18, ntyp = 4
/
ATOMIC_SPECIES
Dy 162.50 Dy.upf
Ba 137.33 Ba.upf
Br 79.90 Br.upf
Tl 204.38 Tl.upf
ATOMIC_POSITIONS crystal
Dy 0.333 0.667 0.750
Ba 0.333 0.667 0.250
Br 0.619 0.659 0.631
Br 0.659 0.041 0.369
Tl 0.000 0.000 0.000
Ba 0.667 0.333 0.750
Br 0.659 0.619 0.131
Br 0.959 0.619 0.369
Br 0.341 0.959 0.631
Br 0.959 0.341 0.131
Br 0.381 0.341 0.369
Br 0.619 0.959 0.869
Br 0.041 0.381 0.631
Tl 0.000 0.000 0.500
Br 0.381 0.041 0.131
Br 0.041 0.659 0.869
Dy 0.667 0.333 0.250
Br 0.341 0.381 0.869
CELL_PARAMETERS angstrom
-0.488 -6.475 -4.604
4.764 -0.001 6.377
-10.303 -4.697 7.697
```



Below is crystalline AcNd3Co at its relaxed geometry, with properties calculated at the PBE level. Values from VASP.

## Properties
Offset from the most stable computed form ... 5.5 kJ per mole of atoms
E_form ... 5.68 kJ per mole of atoms

```
&SYSTEM
  ibrav = 0, nat = 5, ntyp = 3
/
ATOMIC_SPECIES
Co 58.93 Co.upf
Nd 144.24 Nd.upf
Ac 227.00 Ac.upf
ATOMIC_POSITIONS crystal
Co 0.000 0.000 0.000
Nd 0.500 0.000 0.000
Ac 0.500 0.500 0.500
Nd 0.000 0.500 0.000
Nd 0.000 0.000 0.500
CELL_PARAMETERS angstrom
5.542 0.000 0.000
0.000 5.542 0.000
0.000 0.000 5.542
```



Below is crystalline CaBe2Pt2 at its relaxed geometry, with properties calculated at the PBE level. Values from VASP.

## Properties
Offset from the most stable computed form ... 7.4 kJ per mole of atoms
E_form ... -68.93 kJ per mole of atoms

```
&SYSTEM
  ibrav = 0, nat = 5, ntyp = 3
/
ATOMIC_SPECIES
Ca 40.08 Ca.upf
Pt 195.08 Pt.upf
Be 9.01 Be.upf
ATOMIC_POSITIONS crystal
Ca 0.000 0.000 0.000
Pt 0.635 0.635 0.730
Be 0.750 0.250 0.500
Pt 0.365 0.365 0.270
Be 0.250 0.750 0.500
CELL_PARAMETERS angstrom
-2.397 3.124 -0.544
-2.058 -1.014 3.246
0.837 3.899 4.183
```



Below is crystalline Ce2Ga5Tc at its relaxed geometry, with properties calculated at the PBE level. Values from VASP.

## Properties
E_form ... -34.03 kJ per mole of atoms

```
&SYSTEM
  ibrav = 0, nat = 8, ntyp = 3
/
ATOMIC_SPECIES
Ga 69.72 Ga.upf
Ce 140.12 Ce.upf
Tc 98.00 Tc.upf
ATOMIC_POSITIONS crystal
Ga 0.000 0.281 0.707
Ce 0.500 0.750 0.250
Tc 0.000 0.980 0.980
Ga 0.000 0.707 0.281
Ce 0.500 0.250 0.750
Ga 0.574 0.281 0.281
Ga 0.000 0.264 0.264
Ga 0.426 0.707 0.707
CELL_PARAMETERS angstrom
-3.525 1.496 4.853
1.379 -5.929 -1.079
6.011 1.444 0.014
```



| no. | electronic total energy (eV/atom) |
| --- | --- |
| 1 | -7.63 |
| 2 | -5.55 |
| 3 | -10.34 |
| 4 | -4.21 |
| 5 | -3.86 |
| 6 | -5.04 |
| 7 | -5.02 |
| 8 | -5.02 |